# 1
This record from Alexandria describes a relaxed SmHfZr2 crystal. The functional is PBE.

Summary:
- formation energy from the elements (eV/f.u.) = 0.5
- E above lowest polymorph (meV per atom) = 0.0

Structure (CIF):
```
data_SmHfZr2
_chemical_formula_sum 'Sm3 Hf3 Zr6'
_cell_length_a 3.2781
_cell_length_b 3.2781
_cell_length_c 32.2679
_cell_angle_alpha 90.00
_cell_angle_beta 90.00
_cell_angle_gamma 120.00
_symmetry_space_group_name_H-M 'R 3 m'
_symmetry_Int_Tables_number 160
_symmetry_space_group_name_Hall 'R 3 -2"'
loop_
_atom_site_label
_atom_site_type_symbol
_atom_site_fract_x
_atom_site_fract_y
_atom_site_fract_z
Sm1 Sm 0.0000 0.0000 0.0000
Hf1 Hf 0.0000 0.0000 0.8326
Zr1 Zr 0.0000 0.0000 0.2436
Zr2 Zr 0.0000 0.0000 0.4217
```

***

# 2
This record from Alexandria describes a relaxed TiSnPdRh crystal. The functional is PBE.

Summary:
- formation energy from the elements (eV/f.u.) = -2.5

Structure (CIF):
```
data_TiSnPdRh
_chemical_formula_sum 'Ti2 Sn2 Pd2 Rh2'
_cell_length_a 4.151
_cell_length_b 4.151
_cell_length_c 7.565
_cell_angle_alpha 90.00
_cell_angle_beta 90.00
_cell_angle_gamma 90.00
_symmetry_space_group_name_H-M 'I -4 m 2'
_symmetry_Int_Tables_number 119
_symmetry_space_group_name_Hall 'I -4 -2'
loop_
_atom_site_label
_atom_site_type_symbol
_atom_site_fract_x
_atom_site_fract_y
_atom_site_fract_z
Ti1 Ti 0.000 0.000 0.000
Sn1 Sn 0.000 0.000 0.500
Pd1 Pd 0.000 0.500 0.750
Rh1 Rh 0.000 0.500 0.250
```

***

# 3
This record from Alexandria describes a relaxed K2HO2 crystal. The functional is PBE.

Structure (CIF):
```
data_K2HO2
_chemical_formula_sum 'K4 H2 O4'
_cell_length_a 3.884
_cell_length_b 3.884
_cell_length_c 11.071
_cell_angle_alpha 90.00
_cell_angle_beta 90.00
_cell_angle_gamma 90.00
_symmetry_space_group_name_H-M 'I 4/m m m'
_symmetry_Int_Tables_number 139
_symmetry_space_group_name_Hall '-I 4 2'
loop_
_atom_site_label
_atom_site_type_symbol
_atom_site_fract_x
_atom_site_fract_y
_atom_site_fract_z
K1 K 0.000 0.000 0.144
H1 H 0.000 0.000 0.500
O1 O 0.000 0.000 0.391
```

***

# 4
This record from Alexandria describes a relaxed LiZnInF6 crystal. The functional is PBE.

Summary:
- E above lowest polymorph (meV per atom) = 0.0
- formation energy without anion corrections (kJ/mol of formula units) = -2223

Structure (CIF):
```
data_LiZnInF6
_chemical_formula_sum 'Li2 Zn2 In2 F12'
_cell_length_a 4.846
_cell_length_b 4.846
_cell_length_c 9.648
_cell_angle_alpha 90.00
_cell_angle_beta 90.00
_cell_angle_gamma 90.00
_symmetry_space_group_name_H-M 'P 42 n m'
_symmetry_Int_Tables_number 102
loop_
_symmetry_equiv_pos_as_xyz
'x,y,z'
'-y+1/2,x+1/2,z+1/2'
'-x,-y,z'
'y+1/2,-x+1/2,z+1/2'
'-x+1/2,y+1/2,z+1/2'
'y,x,z'
'x+1/2,-y+1/2,z+1/2'
'-y,-x,z'
loop_
_atom_site_label
_atom_site_type_symbol
_atom_site_fract_x
_atom_site_fract_y
_atom_site_fract_z
Li1 Li 0.000 0.000 0.000
Zn1 Zn 0.000 0.000 0.669
In1 In 0.000 0.000 0.336
F1 F 0.193 0.193 0.835
F2 F 0.197 0.197 0.505
F3 F 0.200 0.200 0.169
```

***

# 5
This record from Alexandria describes a relaxed DyEr4Mg crystal. The functional is PBE.

Summary:
- formation energy from the elements (eV/f.u.) = 0.2
- E above lowest polymorph (meV per atom) = 39.0

Structure (CIF):
```
data_DyEr4Mg
_chemical_formula_sum 'Dy4 Er16 Mg4'
_cell_length_a 10.429
_cell_length_b 6.061
_cell_length_c 11.715
_cell_angle_alpha 90.00
_cell_angle_beta 107.21
_cell_angle_gamma 90.00
_symmetry_space_group_name_H-M 'C 1 2/c 1'
_symmetry_Int_Tables_number 15
loop_
_symmetry_equiv_pos_as_xyz
'x,y,z'
'-x,-y,-z'
'-x,y,-z+1/2'
'x,-y,z+1/2'
'x+1/2,y+1/2,z'
'-x+1/2,-y+1/2,-z'
'-x+1/2,y+1/2,-z+1/2'
'x+1/2,-y+1/2,z+1/2'
loop_
_atom_site_label
_atom_site_type_symbol
_atom_site_fract_x
_atom_site_fract_y
_atom_site_fract_z
Dy1 Dy 0.250 0.250 0.000
Er1 Er 0.082 0.248 0.500
Er2 Er 0.166 0.418 0.250
Mg1 Mg 0.000 0.081 0.750
```

***

# 6
This record from Alexandria describes a relaxed Tm2ZnFe crystal. The functional is PBE.

Summary:
- formation energy from the elements (eV/f.u.) = 1.4
- E above lowest polymorph (meV per atom) = 508.5

Structure (CIF):
```
data_Tm2ZnFe
_chemical_formula_sum 'Tm6 Zn3 Fe3'
_cell_length_a 3.4646
_cell_length_b 3.4646
_cell_length_c 28.8604
_cell_angle_alpha 90.00
_cell_angle_beta 90.00
_cell_angle_gamma 120.00
_symmetry_space_group_name_H-M 'R -3 m'
_symmetry_Int_Tables_number 166
_symmetry_space_group_name_Hall '-R 3 2"'
loop_
_atom_site_label
_atom_site_type_symbol
_atom_site_fract_x
_atom_site_fract_y
_atom_site_fract_z
Tm1 Tm 0.0000 0.0000 0.1060
Zn1 Zn 0.0000 0.0000 0.0000
Fe1 Fe 0.0000 0.0000 0.5000
```

***

# 7
This record from Alexandria describes a relaxed Sm4N crystal. The functional is PBE.

Summary:
- formation energy without anion corrections (kJ/mol of formula units) = -222

Structure (CIF):
```
data_Sm4N
_chemical_formula_sum 'Sm4 N1'
_cell_length_a 5.093
_cell_length_b 5.093
_cell_length_c 5.093
_cell_angle_alpha 90.00
_cell_angle_beta 90.00
_cell_angle_gamma 90.00
_symmetry_space_group_name_H-M 'P m -3 m'
_symmetry_Int_Tables_number 221
_symmetry_space_group_name_Hall '-P 4 2 3'
loop_
_atom_site_label
_atom_site_type_symbol
_atom_site_fract_x
_atom_site_fract_y
_atom_site_fract_z
Sm1 Sm 0.000 0.000 0.000
Sm2 Sm 0.000 0.500 0.500
N1 N 0.500 0.500 0.500
```

***

# 8
This record from Alexandria describes a relaxed Sr3Sm2NpN6 crystal. The functional is PBE.

Summary:
- formation energy without anion corrections (kJ/mol of formula units) = -1332

Structure (CIF):
```
data_Sr3Sm2NpN6
_chemical_formula_sum 'Sr6 Sm4 Np2 N12'
_cell_length_a 6.232
_cell_length_b 10.791
_cell_length_c 6.373
_cell_angle_alpha 90.00
_cell_angle_beta 109.09
_cell_angle_gamma 90.00
_symmetry_space_group_name_H-M 'C 1 2/m 1'
_symmetry_Int_Tables_number 12
loop_
_symmetry_equiv_pos_as_xyz
'x,y,z'
'-x,-y,-z'
'-x,y,-z'
'x,-y,z'
'x+1/2,y+1/2,z'
'-x+1/2,-y+1/2,-z'
'-x+1/2,y+1/2,-z'
'x+1/2,-y+1/2,z'
loop_
_atom_site_label
_atom_site_type_symbol
_atom_site_fract_x
_atom_site_fract_y
_atom_site_fract_z
Sr1 Sr 0.000 0.000 0.000
Sr2 Sr 0.000 0.335 0.000
Sm1 Sm 0.000 0.167 0.500
Np1 Np 0.000 0.500 0.500
N1 N 0.219 0.350 0.707
N2 N 0.230 0.500 0.296
```

***

# 9
This record from Alexandria describes a relaxed PrY2ThBi5 crystal. The functional is PBE.

Summary:
- formation energy from the elements (eV/f.u.) = 1.5

Structure (CIF):
```
data_PrY2ThBi5
_chemical_formula_sum 'Pr1 Y2 Th1 Bi5'
_cell_length_a 5.715
_cell_length_b 5.715
_cell_length_c 12.138
_cell_angle_alpha 90.00
_cell_angle_beta 90.00
_cell_angle_gamma 90.00
_symmetry_space_group_name_H-M 'P 4/m m m'
_symmetry_Int_Tables_number 123
_symmetry_space_group_name_Hall '-P 4 2'
loop_
_atom_site_label
_atom_site_type_symbol
_atom_site_fract_x
_atom_site_fract_y
_atom_site_fract_z
Pr1 Pr 0.000 0.000 0.000
Y1 Y 0.500 0.500 0.264
Th1 Th 0.000 0.000 0.500
Bi1 Bi 0.000 0.000 0.246
Bi2 Bi 0.000 0.500 0.500
Bi3 Bi 0.500 0.500 0.000
```

***

# 10
This record from Alexandria describes a relaxed LiEuScOs crystal. The functional is PBE.

Summary:
- formation energy from the elements (eV/f.u.) = 0.0

Structure (CIF):
```
data_LiEuScOs
_chemical_formula_sum 'Li4 Eu4 Sc4 Os4'
_cell_length_a 6.812
_cell_length_b 6.812
_cell_length_c 6.812
_cell_angle_alpha 90.00
_cell_angle_beta 90.00
_cell_angle_gamma 90.00
_symmetry_space_group_name_H-M 'F -4 3 m'
_symmetry_Int_Tables_number 216
_symmetry_space_group_name_Hall 'F -4 2 3'
loop_
_atom_site_label
_atom_site_type_symbol
_atom_site_fract_x
_atom_site_fract_y
_atom_site_fract_z
Li1 Li 0.000 0.000 0.000
Eu1 Eu 0.250 0.250 0.250
Sc1 Sc 0.250 0.250 0.750
Os1 Os 0.000 0.000 0.500
```

***

Computed values of total DFT energy (no corrections) (unit: eV/atom) for the preceding records, in sequence: -7.82, -6.74, -4.08, -4.47, -4.04, -4.31, -5.90, -7.60, -4.79, -7.44.